ScOsRh, relaxed, DFT PBE-GGA; symmetry = No. 44; DFT formation energy = -0.121 eV per atom; energy above the lowest structure with this stoichiometry = 115 meV/atom
1.0
4.961 -0.008 0.000
2.629 4.207 0.000
-3.444 -2.735 2.296
Rh Os Sc
1 1 1
Direct
0.341 0.341 0.000
0.992 0.992 0.000
0.667 0.667 0.000

=====

ScOsRh2, relaxed, DFT PBE-GGA; symmetry = No. 139; DFT formation energy = -0.309 eV per atom; energy above the lowest structure with this stoichiometry = 66 meV/atom
1.0
4.796 0.006 0.000
1.512 4.552 0.000
-3.153 -2.280 2.804
Rh Os Sc
2 1 1
Direct
0.500 0.500 0.000
0.000 0.000 0.000
0.250 0.750 0.500
0.750 0.250 0.500

=====

ScOs2Rh, relaxed, DFT PBE-GGA; symmetry = No. 119; DFT formation energy = -0.107 eV per atom; energy above the lowest structure with this stoichiometry = 59 meV/atom
1.0
-1.013 -2.684 -3.819
3.377 0.818 -3.277
0.364 -1.171 4.616
Os Rh Sc
2 1 1
Direct
0.250 0.750 0.500
0.000 0.000 0.000
0.500 0.500 0.000
0.750 0.250 0.500

=====

ScOs2Rh, relaxed, DFT PBE-GGA; symmetry = No. 47; DFT formation energy = 0.034 eV per atom; energy above the lowest structure with this stoichiometry = 199 meV/atom
1.0
-2.042 1.134 1.450
-1.780 -3.568 0.285
2.849 -1.036 4.824
Sc Os Rh
1 2 1
Direct
0.500 0.500 0.750
0.000 0.000 0.025
0.000 0.000 0.475
0.500 0.500 0.250

=====

Sc2OsRh, relaxed, DFT PBE-GGA; symmetry = No. 160; DFT formation energy = 0.105 eV per atom
1.0
-1.679 1.354 -9.152
-4.053 -0.398 -8.475
-4.194 2.590 -8.007
Rh Sc Os
1 2 1
Direct
0.751 0.751 0.751
0.013 0.013 0.013
0.238 0.238 0.238
0.499 0.499 0.499

=====

Sc2OsRh, relaxed, DFT PBE-GGA; symmetry = No. 119; DFT formation energy = -0.410 eV per atom
1.0
5.387 0.003 0.000
2.663 4.683 0.000
-4.025 -2.343 2.707
Rh Os Sc
1 1 2
Direct
0.750 0.250 0.500
0.500 0.500 0.000
0.000 0.000 0.000
0.250 0.750 0.500

=====

Sc2OsRh, relaxed, DFT PBE-GGA; symmetry = No. 8; DFT formation energy = -0.472 eV per atom
1.0
-0.262 0.351 5.235
-1.172 -2.551 4.440
3.937 -1.670 1.591
Sc Os Rh
2 1 1
Direct
0.988 0.988 0.060
0.764 0.764 0.689
0.506 0.506 0.557
0.242 0.242 0.194

=====

ScOs2Rh, relaxed, DFT PBE-GGA; symmetry = No. 122; DFT formation energy = 0.307 eV per atom; energy above the lowest structure with this stoichiometry = 473 meV/atom
1.0
3.683 0.000 0.000
0.000 3.683 0.000
1.842 1.842 9.915
Rh Os Sc
2 4 2
Direct
0.000 0.000 0.000
0.750 0.250 0.500
0.102 0.625 0.250
0.375 0.352 0.750
0.648 0.125 0.250
0.875 0.898 0.750
0.500 0.500 0.000
0.250 0.750 0.500

=====

ScOsRh2, relaxed, DFT PBE-GGA; symmetry = No. 25; DFT formation energy = -0.358 eV per atom; energy above the lowest structure with this stoichiometry = 18 meV/atom
1.0
4.482 0.000 0.000
0.000 2.815 -0.006
0.000 0.011 4.812
Os Rh Sc
1 2 1
Direct
0.500 0.625 0.814
0.500 0.125 0.310
0.000 0.125 0.940
0.000 0.625 0.437

=====

Sc4OsRh, relaxed, DFT PBE-GGA; symmetry = No. 216; DFT formation energy = 0.413 eV per atom; energy above the lowest structure with this stoichiometry = 923 meV/atom
1.0
4.846 -1.548 1.758
2.741 3.117 3.427
0.640 -1.542 5.117
Sc Os Rh
4 1 1
Direct
0.375 0.375 0.874
0.874 0.375 0.375
0.375 0.375 0.375
0.375 0.874 0.375
0.750 0.750 0.750
0.000 0.000 0.000

=====

Sc8OsRh2, relaxed, DFT PBE-GGA; symmetry = No. 8; DFT formation energy = -0.405 eV per atom
1.0
-5.111 0.588 0.613
0.772 -6.822 2.238
2.417 5.029 4.585
Sc Rh Os
8 2 1
Direct
0.994 0.214 0.786
0.178 0.367 0.367
0.396 0.922 0.676
0.586 0.082 0.326
0.586 0.326 0.082
0.814 0.644 0.644
0.994 0.786 0.214
0.396 0.676 0.922
0.503 0.314 0.698
0.503 0.698 0.314
0.048 0.005 0.005

=====

ScOsRh2, relaxed, DFT PBE-GGA; symmetry = No. 119; DFT formation energy = -0.266 eV per atom; energy above the lowest structure with this stoichiometry = 109 meV/atom
1.0
-0.498 -4.800 -0.403
2.449 -1.597 -3.860
1.279 2.832 3.714
Rh Os Sc
2 1 1
Direct
0.250 0.750 0.500
0.000 0.000 0.000
0.750 0.250 0.500
0.500 0.500 0.000

=====

Sc2OsRh, relaxed, DFT PBE-GGA; symmetry = No. 99; DFT formation energy = -0.112 eV per atom
1.0
2.930 0.015 0.000
-0.015 2.930 0.000
0.000 0.000 8.501
Sc Rh Os
2 1 1
Direct
0.000 0.000 0.953
0.500 0.500 0.296
0.500 0.500 0.730
0.000 0.000 0.521

=====

ScOsRh, relaxed, DFT PBE-GGA; symmetry = No. 107; DFT formation energy = -0.236 eV per atom; energy above the lowest structure with this stoichiometry = 0 meV/atom
1.0
-3.833 4.859 1.372
-5.365 2.603 2.150
0.599 0.531 2.720
Rh Sc Os
1 1 1
Direct
0.346 0.346 0.654
0.665 0.665 0.335
0.989 0.989 0.011

=====

Sc2OsRh, relaxed, DFT PBE-GGA; symmetry = No. 225; DFT formation energy = -0.703 eV per atom
1.0
-2.631 0.909 -3.604
-4.010 -2.104 -0.481
-3.874 2.332 0.540
Sc Rh Os
2 1 1
Direct
0.000 0.000 0.000
0.500 0.500 0.500
0.250 0.250 0.250
0.750 0.750 0.750

=====

ScOs2Rh, relaxed, DFT PBE-GGA; symmetry = No. 123; DFT formation energy = 0.043 eV per atom; energy above the lowest structure with this stoichiometry = 209 meV/atom
1.0
2.779 0.000 0.000
0.000 2.779 0.000
0.000 0.000 8.047
Sc Os Rh
1 2 1
Direct
0.500 0.500 0.750
0.000 0.000 0.482
0.000 0.000 0.018
0.500 0.500 0.250

=====

ScOs2Rh, relaxed, DFT PBE-GGA; symmetry = No. 99; DFT formation energy = -0.166 eV per atom; energy above the lowest structure with this stoichiometry = 0 meV/atom
1.0
2.842 0.000 0.000
0.000 2.842 0.000
0.000 0.000 7.729
Os Sc Rh
2 1 1
Direct
0.500 0.500 0.243
0.000 0.000 0.023
0.500 0.500 0.748
0.000 0.000 0.486

=====

ScOs2Rh, relaxed, DFT PBE-GGA; symmetry = No. 166; DFT formation energy = 0.179 eV per atom; energy above the lowest structure with this stoichiometry = 344 meV/atom
1.0
-8.888 -1.703 -2.209
-8.300 -4.121 -0.948
-9.098 -1.917 0.564
Sc Os Rh
1 2 1
Direct
0.750 0.750 0.750
0.997 0.997 0.997
0.503 0.503 0.503
0.250 0.250 0.250

=====

Sc2OsRh, relaxed, DFT PBE-GGA; symmetry = No. 216; DFT formation energy = -0.183 eV per atom
1.0
-0.070 -4.442 -1.025
3.123 -1.736 -2.832
3.251 -2.762 1.608
Sc Os Rh
2 1 1
Direct
0.250 0.250 0.250
0.000 0.000 0.000
0.500 0.500 0.500
0.750 0.750 0.750

=====

ScOs2Rh, relaxed, DFT PBE-GGA; symmetry = No. 47; DFT formation energy = -0.077 eV per atom; energy above the lowest structure with this stoichiometry = 88 meV/atom
1.0
-1.524 -0.188 2.503
3.511 -1.955 1.992
1.609 4.211 1.296
Os Sc Rh
2 1 1
Direct
0.500 0.500 0.000
0.000 0.000 0.000
0.000 0.500 0.500
0.500 0.000 0.500

=====

Sc2OsRh2, relaxed, DFT PBE-GGA; symmetry = No. 127; DFT formation energy = -0.424 eV per atom; energy above the lowest structure with this stoichiometry = 0 meV/atom
1.0
6.623 0.000 0.000
0.000 6.623 0.000
0.000 0.000 4.006
Sc Os Rh
4 2 4
Direct
0.822 0.322 0.500
0.678 0.822 0.500
0.178 0.678 0.500
0.322 0.178 0.500
0.000 0.000 0.000
0.500 0.500 0.000
0.865 0.635 0.000
0.365 0.865 0.000
0.135 0.365 0.000
0.635 0.135 0.000

=====

Sc2OsRh, relaxed, DFT PBE-GGA; symmetry = No. 71; DFT formation energy = 0.378 eV per atom
1.0
4.773 -1.455 -2.927
-1.081 4.871 2.927
-3.315 -0.120 4.739
Sc Rh Os
2 1 1
Direct
0.000 0.244 0.244
0.000 0.756 0.756
0.000 0.000 0.000
0.000 0.500 0.500

=====

ScOsRh2, relaxed, DFT PBE-GGA; symmetry = No. 225; DFT formation energy = -0.099 eV per atom; energy above the lowest structure with this stoichiometry = 276 meV/atom
1.0
4.207 1.378 0.618
1.180 1.917 3.862
2.668 -2.175 2.851
Sc Rh Os
1 2 1
Direct
0.000 0.000 0.000
0.750 0.750 0.750
0.250 0.250 0.250
0.500 0.500 0.500

=====

Sc8Os2Rh, relaxed, DFT PBE-GGA; symmetry = No. 12; DFT formation energy = -0.417 eV per atom
1.0
4.384 0.000 -1.183
-0.457 6.256 -1.694
-0.102 -0.460 8.332
Os Sc Rh
2 8 1
Direct
0.180 0.691 0.361
0.820 0.309 0.639
0.201 0.299 0.401
0.667 0.954 0.334
0.333 0.046 0.666
0.600 0.456 0.200
0.799 0.701 0.599
0.027 0.786 0.054
0.400 0.544 0.800
0.973 0.214 0.946
0.500 0.000 0.000

=====

ScSnOsRh, relaxed, DFT PBE-GGA; symmetry = No. 216; DFT formation energy = -0.535 eV per atom
1.0
4.552 0.000 0.000
2.276 3.942 0.000
2.276 1.314 3.717
Rh Os Sn Sc
1 1 1 1
Direct
0.000 0.000 0.000
0.500 0.500 0.500
0.250 0.250 0.250
0.750 0.750 0.750

=====

Sc5Sn2OsRh2, relaxed, DFT PBE-GGA; symmetry = No. 127; DFT formation energy = -0.625 eV per atom
1.0
3.311 0.000 0.000
0.000 11.009 0.000
0.000 0.000 11.009
Sc Sn Rh Os
10 4 4 2
Direct
0.500 0.500 0.000
0.500 0.065 0.808
0.500 0.935 0.192
0.500 0.565 0.692
0.500 0.808 0.935
0.500 0.308 0.565
0.500 0.692 0.435
0.500 0.435 0.308
0.500 0.000 0.500
0.500 0.192 0.065
0.000 0.326 0.826
0.000 0.826 0.674
0.000 0.674 0.174
0.000 0.174 0.326
0.000 0.365 0.135
0.000 0.135 0.635
0.000 0.635 0.865
0.000 0.865 0.365
0.000 0.500 0.500
0.000 0.000 0.000

=====

ScSnOs2Rh, relaxed, DFT PBE-GGA; symmetry = No. 123; DFT formation energy = 1.441 eV per atom
1.0
4.834 0.000 0.000
0.000 4.730 0.000
0.000 0.000 4.834
Sn Os Rh Sc
1 2 1 1
Direct
0.000 0.000 0.000
0.000 0.000 0.500
0.500 0.000 0.000
0.000 0.500 0.000
0.500 0.500 0.500

=====

ScTiOs2Rh, relaxed, DFT PBE-GGA; symmetry = No. 123; DFT formation energy = 0.696 eV per atom
1.0
4.578 0.000 0.000
0.000 4.488 0.000
0.000 0.000 4.578
Rh Sc Os Ti
1 1 2 1
Direct
0.000 0.500 0.000
0.500 0.500 0.500
0.500 0.000 0.000
0.000 0.000 0.500
0.000 0.000 0.000